Below is a relaxed Ga2CoO4 crystal, with properties calculated at the GGA+U level.

Output
total energy	-6.07	eV per atom
crystal system	tetragonal

```
data_Ga2CoO4
_chemical_formula_sum 'Ga8 Co4 O16'
_cell_length_a 5.911
_cell_length_b 5.911
_cell_length_c 8.290
_cell_angle_alpha 90.00
_cell_angle_beta 90.00
_cell_angle_gamma 90.00
_space_group_name_H-M_alt 'P 41 2 2'
_space_group_IT_number 91
loop_
_space_group_symop_operation_xyz
'x,y,z'
'-y,x,z+1/4'
'-x,-y,z+1/2'
'y,-x,z+3/4'
'x,-y,-z+1/2'
'-y,-x,-z+1/4'
'-x,y,-z'
'y,x,-z+3/4'
loop_
_atom_site_label
_atom_site_fract_x
_atom_site_fract_y
_atom_site_fract_z
Ga1 0.000 0.257 0.000
Ga2 0.244 0.244 0.375
Co1 0.258 0.500 0.750
O1 0.015 0.240 0.760
O2 0.238 0.492 0.000
```